NaTa2Cu | PBE | relaxed

The value obtained for the total energy is -6.3158 eV per atom. The calculation puts the energy of formation from the pure elements at 93.0 kJ per mole of atoms. As for the crystal system: cubic.

a = 6.440 Å, b = 6.440 Å, c = 6.440 Å
α = 90.00°, β = 90.00°, γ = 90.00°
Space group Fm-3m (No. 225)
Unique sites:
Na 0.000 0.000 0.000 x4
Ta 0.250 0.250 0.250 x8
Cu 0.000 0.000 0.500 x4